1.
Below is a relaxed CrPtCl2 crystal, with properties calculated at the PBE level.

Structure (POSCAR):
```
CrPtCl2
1.0
6.397 -1.673 0.000
6.397 1.673 0.000
-0.492 0.000 4.441
Cr Pt Cl
1 1 2
direct
0.000 0.000 0.000
0.500 0.500 0.500
0.362 0.362 0.793
0.638 0.638 0.207
```

Properties
- Fermi-level density of states: 0.87 states/eV/atom
- Volume: 95.0 Å³/cell
- Polymorph energy (0 for the lowest one): 28 meV per atom
- E_tot: -5.115 eV/atom
- Theoretical density: 5.6 g/cm3

***

2.
Below is a relaxed CrPtCl2 crystal, with properties calculated at the PBE level.

Structure (POSCAR):
```
CrPtCl2
1.0
1.967 -2.406 0.000
1.967 2.406 0.000
0.000 0.000 8.404
Cr Pt Cl
1 1 2
direct
0.000 0.000 0.000
0.500 0.500 0.191
0.000 0.000 0.399
0.500 0.500 0.816
```

Properties
- Fermi-level density of states: 0.86 states/eV/atom
- Volume: 79.5 Å³/cell
- Polymorph energy (0 for the lowest one): 207 meV per atom
- E_tot: -4.937 eV/atom
- Theoretical density: 6.6 g/cm3

***

3.
Below is a relaxed CrPtCl crystal, with properties calculated at the PBE level.

Structure (POSCAR):
```
CrPtCl
1.0
2.864 -1.673 0.000
2.864 1.673 0.000
-1.851 0.000 6.041
Cr Pt Cl
1 1 1
direct
0.000 0.000 0.000
0.420 0.420 0.261
0.584 0.584 0.750
```

Properties
- Fermi-level density of states: 0.02 states/eV/atom
- Volume: 57.9 Å³/cell
- Polymorph energy (0 for the lowest one): 0 meV per atom
- E_tot: -6.019 eV/atom
- Theoretical density: 8.1 g/cm3

***

4.
Below is a relaxed CrPtCl crystal, with properties calculated at the PBE level.

Structure (POSCAR):
```
CrPtCl
1.0
0.000 3.048 3.048
3.048 0.000 3.048
3.048 3.048 0.000
Cr Pt Cl
1 1 1
direct
0.000 0.000 0.000
0.750 0.750 0.750
0.250 0.250 0.250
```

Properties
- Fermi-level density of states: 2.07 states/eV/atom
- Volume: 56.6 Å³/cell
- Polymorph energy (0 for the lowest one): 556 meV per atom
- E_tot: -5.463 eV/atom
- Theoretical density: 8.3 g/cm3